# 1
Density functional theory data (PBE) for a relaxed SrZnIn2Cu crystal.

Cell: 5.1421 5.1421 4.8354 Å, 90.00 90.00 90.00°
Element x y z (fractional)
Sr 0.5000 0.5000 0.5000
Zn 0.0000 0.0000 0.5000
Cu 0.0000 0.0000 0.0000
In 0.0000 0.5000 0.0000
In 0.5000 0.0000 0.0000

Output
**Density**: 5.80 Mg/m³
**Space-group type**: P4/mmm
**VASP energy**: -2.59 eV per atom
**Total magnetization**: 0.00 Bohr magnetons per cell

---

# 2
Density functional theory data (PBE) for a relaxed TaIn2Cu crystal.

Cell: 3.0165 3.0165 8.6535 Å, 90.00 90.00 89.97°
Element x y z (fractional)
Cu 0.5000 0.5000 0.7300
In 0.0000 0.0000 0.9545
In 0.5000 0.5000 0.2818
Ta 0.0000 0.0000 0.5337

Output
**Density**: 10.00 Mg/m³
**Space-group type**: P4mm
**VASP energy**: -5.13 eV per atom
**ΔE to the lowest computed polymorph**: 0.036 eV per atom
**Total magnetization**: 0.00 Bohr magnetons per cell

---

# 3
Density functional theory data (PBE) for a relaxed TaIn2Cu crystal.

Cell: 5.4737 5.4737 5.4737 Å, 136.87 136.87 62.64°
Element x y z (fractional)
Cu 0.7500 0.2500 0.5000
In 0.0000 0.0000 0.0000
In 0.2500 0.7500 0.5000
Ta 0.5000 0.5000 0.0000

Output
**Density**: 10.40 Mg/m³
**Space-group type**: I-4m2
**VASP energy**: -5.03 eV per atom
**ΔE to the lowest computed polymorph**: 0.141 eV per atom
**Total magnetization**: 0.00 Bohr magnetons per cell

---

# 4
Density functional theory data (PBE) for a relaxed TaIn2Cu crystal.

Cell: 5.2266 5.2266 5.2716 Å, 72.67 72.67 33.64°
Element x y z (fractional)
Cu 0.2500 0.2500 0.2500
In 0.9827 0.9827 0.0109
In 0.5173 0.5173 0.4891
Ta 0.7500 0.7500 0.7500

Output
**Density**: 10.39 Mg/m³
**Space-group type**: C2/m
**VASP energy**: -5.01 eV per atom
**ΔE to the lowest computed polymorph**: 0.161 eV per atom
**Total magnetization**: 0.00 Bohr magnetons per cell